Record 1
DFT (GGA-PBE) results for a geometry-optimized ScZnPb structure.

## Properties
- DFT formation energy: -179.6 meV/atom
- Volume: 23.43 Å³ per atom

```
ScZnPb
1.0
4.437 0.000 0.000
2.218 3.842 0.000
2.218 1.281 8.245
Zn Sc Pb
2 2 2
direct
0.162 0.162 0.513 Zn
0.838 0.838 0.487 Zn
0.438 0.438 0.687 Sc
0.562 0.562 0.313 Sc
0.298 0.298 0.106 Pb
0.702 0.702 0.894 Pb
```

=====

Record 2
DFT (GGA-PBE) results for a geometry-optimized ScZnPb2 structure.

## Properties
- DFT formation energy: -72.7 meV/atom
- Volume: 24.34 Å³ per atom

```
ScZnPb2
1.0
-0.939 2.720 -2.022
-3.801 0.092 1.890
2.325 4.130 4.476
Zn Pb Sc
1 2 1
direct
0.500 0.500 0.750 Zn
0.000 0.000 0.996 Pb
0.000 0.000 0.504 Pb
0.500 0.500 0.250 Sc
```

=====

Record 3
DFT (GGA-PBE) results for a geometry-optimized ScZnPb structure.

## Properties
- DFT formation energy: -186.4 meV/atom
- Volume: 22.13 Å³ per atom

```
ScZnPb
1.0
4.539 0.000 0.000
-2.270 3.931 0.000
0.000 0.000 3.721
Zn Pb Sc
1 1 1
direct
0.333 0.667 0.684 Zn
0.000 0.000 0.946 Pb
0.667 0.333 0.370 Sc
```